No. 1
# PBE SrSmRu, relaxed
data_SrSmRu
_chemical_formula_sum 'Sr2 Sm2 Ru2'
_cell_length_a 3.5677
_cell_length_b 3.5677
_cell_length_c 13.7563
_cell_angle_alpha 90.00
_cell_angle_beta 90.00
_cell_angle_gamma 90.00
_space_group_name_H-M_alt 'I 4 m m'
_space_group_IT_number 107
_space_group_name_Hall 'I 4 -2'
loop_
_atom_site_label
_atom_site_type_symbol
_atom_site_fract_x
_atom_site_fract_y
_atom_site_fract_z
_atom_site_occupancy
Sr1 Sr 0.0000 0.0000 0.0000 1
Sm1 Sm 0.0000 0.0000 0.2496 1
Ru1 Ru 0.0000 0.0000 0.6454 1
# Crystal system: tetragonal
# Energy in eV per atom: -5.1860

No. 2
# PBE KSrSnCl5, relaxed
data_KSrSnCl5
_chemical_formula_sum 'K4 Sr4 Sn4 Cl20'
_cell_length_a 10.4010
_cell_length_b 11.5664
_cell_length_c 10.3878
_cell_angle_alpha 90.00
_cell_angle_beta 113.67
_cell_angle_gamma 90.00
_space_group_name_H-M_alt 'C 1 2/c 1'
_space_group_IT_number 15
loop_
_space_group_symop_operation_xyz
'x,y,z'
'-x,-y,-z'
'-x,y,-z+1/2'
'x,-y,z+1/2'
'x+1/2,y+1/2,z'
'-x+1/2,-y+1/2,-z'
'-x+1/2,y+1/2,-z+1/2'
'x+1/2,-y+1/2,z+1/2'
loop_
_atom_site_label
_atom_site_type_symbol
_atom_site_fract_x
_atom_site_fract_y
_atom_site_fract_z
_atom_site_occupancy
K1 K 0.0000 0.0691 0.2500 1
Sr1 Sr 0.2500 0.2500 0.0000 1
Sn1 Sn 0.0000 0.4876 0.2500 1
Cl1 Cl 0.0000 0.2086 0.7500 1
Cl2 Cl 0.0297 0.3250 0.0917 1
Cl3 Cl 0.2089 0.0170 0.0805 1
# Raw formation energy in kJ per mole of atoms: -171
# Crystal system: monoclinic

No. 3
# PBE Tm2UC, relaxed
data_Tm2UC
_chemical_formula_sum 'Tm6 U3 C3'
_cell_length_a 3.3354
_cell_length_b 3.3354
_cell_length_c 28.6047
_cell_angle_alpha 90.00
_cell_angle_beta 90.00
_cell_angle_gamma 120.00
_space_group_name_H-M_alt 'R -3 m'
_space_group_IT_number 166
_space_group_name_Hall '-R 3 2"'
loop_
_atom_site_label
_atom_site_type_symbol
_atom_site_fract_x
_atom_site_fract_y
_atom_site_fract_z
_atom_site_occupancy
Tm1 Tm 0.0000 0.0000 0.1191 1
U1 U 0.0000 0.0000 0.0000 1
C1 C 0.0000 0.0000 0.5000 1
# Crystal system: trigonal
# Energy in eV per atom: -7.1728

No. 4
# PBE Ac2Al4CdIn3, relaxed
data_Ac2Al4CdIn3
_chemical_formula_sum 'Ac2 Al4 Cd1 In3'
_cell_length_a 4.7157
_cell_length_b 4.7157
_cell_length_c 11.4054
_cell_angle_alpha 90.00
_cell_angle_beta 90.00
_cell_angle_gamma 90.00
_space_group_name_H-M_alt 'P -4 m 2'
_space_group_IT_number 115
loop_
_space_group_symop_operation_xyz
'x,y,z'
'y,-x,-z'
'-x,-y,z'
'-y,x,-z'
'-x,y,z'
'-y,-x,-z'
'x,-y,z'
'y,x,-z'
loop_
_atom_site_label
_atom_site_type_symbol
_atom_site_fract_x
_atom_site_fract_y
_atom_site_fract_z
_atom_site_occupancy
Ac1 Ac 0.0000 0.5000 0.2499 1
Al1 Al 0.0000 0.0000 0.0000 1
Al2 Al 0.0000 0.5000 0.6325 1
Al3 Al 0.5000 0.5000 0.0000 1
Cd1 Cd 0.0000 0.0000 0.5000 1
In1 In 0.0000 0.5000 0.8683 1
In2 In 0.5000 0.5000 0.5000 1
# Crystal system: tetragonal
# Energy in eV per atom: -3.4955

No. 5
# PBE NdBPd6, relaxed
data_NdBPd6
_chemical_formula_sum 'Nd3 B3 Pd18'
_cell_length_a 5.6770
_cell_length_b 5.6770
_cell_length_c 15.0448
_cell_angle_alpha 90.00
_cell_angle_beta 90.00
_cell_angle_gamma 120.00
_space_group_name_H-M_alt 'R -3 m'
_space_group_IT_number 166
_space_group_name_Hall '-R 3 2"'
loop_
_atom_site_label
_atom_site_type_symbol
_atom_site_fract_x
_atom_site_fract_y
_atom_site_fract_z
_atom_site_occupancy
Nd1 Nd 0.0000 0.0000 0.0000 1
B1 B 0.0000 0.0000 0.5000 1
Pd1 Pd 0.0132 0.5066 0.9116 1
# Crystal system: trigonal
# Energy in eV per atom: -5.7410

No. 6
# PBE RbNbCoPb2, relaxed
data_RbNbCoPb2
_chemical_formula_sum 'Rb1 Nb1 Co1 Pb2'
_cell_length_a 5.2783
_cell_length_b 5.2783
_cell_length_c 4.9275
_cell_angle_alpha 90.00
_cell_angle_beta 90.00
_cell_angle_gamma 90.00
_space_group_name_H-M_alt 'P 4/m m m'
_space_group_IT_number 123
_space_group_name_Hall '-P 4 2'
loop_
_atom_site_label
_atom_site_type_symbol
_atom_site_fract_x
_atom_site_fract_y
_atom_site_fract_z
_atom_site_occupancy
Rb1 Rb 0.0000 0.0000 0.0000 1
Nb1 Nb 0.5000 0.5000 0.0000 1
Co1 Co 0.5000 0.5000 0.5000 1
Pb1 Pb 0.0000 0.5000 0.5000 1
# Crystal system: tetragonal
# Energy in eV per atom: -4.4121

Number 1: magnetization 0.00 Bohr magnetons per cell. Number 2: magnetization 0.00 Bohr magnetons per cell. Number 3: magnetization 7.48 Bohr magnetons per cell. Number 4: magnetization 0.00 Bohr magnetons per cell. Number 5: magnetization 0.00 Bohr magnetons per cell. Number 6: magnetization 2.05 Bohr magnetons per cell.